Arrangement one

The following is a DFT calculation (GGA-PBE) of a geometry-optimized LaSmY3 structure.

Cell: 3.5952 8.8503 11.4850 Å, 109.16 90.00 101.72°
With the nearest neighbours (Å) after each atom.
Sites, in units of the cell vectors:
La 0.0486 0.0964 0.1505  1 Sm 3.22, 3 La 3.30-3.60, 1 Y 3.46
La 0.9514 0.9036 0.8495  1 Sm 3.22, 3 La 3.30-3.60, 1 Y 3.46
Sm 0.2459 0.4909 0.2501  1 La 3.22, 4 Y 3.40-3.58, 2 Sm 3.60
Sm 0.7541 0.5091 0.7499  1 La 3.22, 4 Y 3.40-3.58, 2 Sm 3.60
Y 0.0646 0.1303 0.6522  1 La 3.46, 7 Y 3.47-3.77, 2 Sm 3.58
Y 0.3472 0.6941 0.0432  3 Sm 3.40-3.68, 6 Y 3.60-3.77, 4 La 3.74-3.77
Y 0.3534 0.7071 0.5582  3 Sm 3.40-3.68, 4 Y 3.60-3.65, 2 La 3.67-3.68
Y 0.6466 0.2929 0.4418  3 Sm 3.40-3.68, 4 Y 3.60-3.65, 2 La 3.67-3.68
Y 0.6528 0.3059 0.9568  3 Sm 3.40-3.68, 6 Y 3.60-3.77, 4 La 3.74-3.77
Y 0.9354 0.8697 0.3478  1 La 3.46, 7 Y 3.47-3.77, 2 Sm 3.58

Output
- Symmetry: P-1, No. 2

=====

Arrangement two

The following is a DFT calculation (GGA-PBE) of a geometry-optimized LaSmY3 structure.

Cell: 6.5596 6.5687 9.6613 Å, 71.29 89.47 60.27°
With the nearest neighbours (Å) after each atom.
Sites, in units of the cell vectors:
La 0.0000 0.0000 0.0000  2 Sm 3.43, 10 Y 3.45-3.83
La 0.5000 0.0000 0.5000  2 Sm 3.16, 4 Y 3.29-3.31
Sm 0.1524 0.2880 0.6893  2 La 3.16-3.43, 4 Y 3.35-3.45
Sm 0.8476 0.7120 0.3107  2 La 3.16-3.43, 4 Y 3.35-3.45
Y 0.0016 0.1418 0.3136  2 La 3.29-3.45, 2 Sm 3.35-3.45, 4 Y 3.39-3.67
Y 0.3450 0.3083 0.0453  7 Y 3.65-3.92, 2 Sm 3.70-3.74, 3 La 3.81-3.83
Y 0.4265 0.5581 0.3132  2 La 3.31-3.45, 2 Sm 3.38-3.41, 4 Y 3.39-3.65
Y 0.5735 0.4419 0.6868  2 La 3.31-3.45, 2 Sm 3.38-3.41, 4 Y 3.39-3.65
Y 0.6550 0.6917 0.9547  7 Y 3.65-3.92, 2 Sm 3.70-3.74, 3 La 3.81-3.83
Y 0.9984 0.8582 0.6864  2 La 3.29-3.45, 2 Sm 3.35-3.45, 4 Y 3.39-3.67

Output
- Symmetry: P-1, No. 2

=====

It comes down to arrangement one, which is 122 meV per atom more stable than the next structure.

=====

Arrangement one

The following is a DFT calculation (GGA-PBE) of a geometry-optimized La3Sm5Y4 structure.

Cell: 8.7029 8.7029 9.4244 Å, 114.96 114.96 40.68°
With the nearest neighbours (Å) after each atom.
Sites, in units of the cell vectors:
La 0.0000 0.0000 0.0000  2 Sm 3.03
La 0.2933 0.2933 0.7745  3 Sm 3.07-3.29, 1 Y 3.34
La 0.7067 0.7067 0.2255  3 Sm 3.07-3.29, 1 Y 3.34
Sm 0.0759 0.0759 0.6986  2 La 3.29-3.57, 1 Sm 3.44, 2 Y 3.64
Sm 0.1725 0.1725 0.3908  4 La 3.25-3.56, 3 Y 3.50-3.62
Sm 0.5000 0.5000 0.0000  4 La 3.03-3.07
Sm 0.8275 0.8275 0.6092  4 La 3.25-3.56, 3 Y 3.50-3.62
Sm 0.9241 0.9241 0.3014  2 La 3.29-3.57, 1 Sm 3.44, 2 Y 3.64
Y 0.2924 0.2924 0.1280  3 La 3.34-3.62, 2 Sm 3.64, 3 Y 3.67-3.73
Y 0.4204 0.4204 0.5631  2 Y 3.31-3.67, 1 La 3.46, 3 Sm 3.50-3.62
Y 0.5796 0.5796 0.4369  2 Y 3.31-3.67, 1 La 3.46, 3 Sm 3.50-3.62
Y 0.7076 0.7076 0.8720  3 La 3.34-3.62, 2 Sm 3.64, 3 Y 3.67-3.73

Output
- Symmetry: C2/m, No. 12

=====

Arrangement two

The following is a DFT calculation (GGA-PBE) of a geometry-optimized La3Sm5Y4 structure.

Cell: 6.3144 7.2615 8.9252 Å, 90.01 90.11 90.05°
With the nearest neighbours (Å) after each atom.
Sites, in units of the cell vectors:
La 0.0000 0.0000 0.0000  8 Sm 3.63-3.65, 2 La 3.64, 2 Y 3.65
La 0.1660 0.7500 0.6670  6 Y 3.62-3.65, 5 Sm 3.63-3.65, 1 La 3.64
La 0.8340 0.2500 0.3330  6 Y 3.62-3.65, 5 Sm 3.63-3.65, 1 La 3.64
Sm 0.0000 0.5000 0.0000  4 La 3.63-3.64, 4 Sm 3.63-3.64, 4 Y 3.64-3.65
Sm 0.3346 0.0007 0.3337  3 Sm 3.63-3.66, 5 Y 3.63-3.67, 4 La 3.63-3.65
Sm 0.4990 0.2516 0.0008  6 Sm 3.61-3.66, 3 Y 3.63-3.64, 3 La 3.64-3.65
Sm 0.5010 0.7484 0.9992  6 Sm 3.61-3.66, 3 Y 3.63-3.64, 3 La 3.64-3.65
Sm 0.6654 0.9993 0.6663  3 Sm 3.63-3.66, 5 Y 3.63-3.67, 4 La 3.63-3.65
Y 0.1691 0.2510 0.6664  3 Y 3.62-3.65, 4 La 3.62-3.65, 5 Sm 3.63-3.67
Y 0.3334 0.5006 0.3331  4 Y 3.62-3.65, 5 Sm 3.63-3.64, 3 La 3.64-3.65
Y 0.6666 0.4994 0.6669  4 Y 3.62-3.65, 5 Sm 3.63-3.64, 3 La 3.64-3.65
Y 0.8309 0.7490 0.3336  3 Y 3.62-3.65, 4 La 3.62-3.65, 5 Sm 3.63-3.67

Output
- Symmetry: P-1, No. 2

=====

It comes down to arrangement two, which is 199 meV per atom more stable than the next structure.

=====

Arrangement one

The following is a DFT calculation (GGA-PBE) of a geometry-optimized La7Sm3Y structure.

Cell: 7.3153 7.3153 8.7982 Å, 90.00 90.00 120.00°
With the nearest neighbours (Å) after each atom.
Sites, in units of the cell vectors:
La 0.0000 0.0000 0.0000  9 La 3.60-3.66, 3 Sm 3.71
La 0.0032 0.5016 0.0230  2 Sm 3.55, 8 La 3.62-3.74, 1 Y 3.65
La 0.1680 0.3360 0.6703  2 Sm 3.55, 7 La 3.60-3.74, 2 Y 3.66
La 0.1680 0.8320 0.6703  2 Sm 3.55, 7 La 3.60-3.74, 2 Y 3.66
La 0.4984 0.5016 0.0230  2 Sm 3.55, 8 La 3.62-3.74, 1 Y 3.65
La 0.4984 0.9968 0.0230  2 Sm 3.55, 8 La 3.62-3.74, 1 Y 3.65
La 0.6640 0.8320 0.6703  2 Sm 3.55, 7 La 3.60-3.74, 2 Y 3.66
Sm 0.3334 0.1667 0.3465  5 La 3.55-3.71, 4 Sm 3.66, 1 Y 3.66
Sm 0.8333 0.1667 0.3465  5 La 3.55-3.71, 4 Sm 3.66, 1 Y 3.66
Sm 0.8333 0.6666 0.3465  5 La 3.55-3.71, 4 Sm 3.66, 1 Y 3.66
Y 0.6667 0.3333 0.6869  9 La 3.65-3.66, 3 Sm 3.66

Output
- Symmetry: P3m1, No. 156

=====

Arrangement two

The following is a DFT calculation (GGA-PBE) of a geometry-optimized La7Sm3Y structure.

Cell: 7.8603 7.8603 6.5922 Å, 94.20 94.20 82.31°
With the nearest neighbours (Å) after each atom.
Sites, in units of the cell vectors:
La 0.0000 0.0000 0.0000  2 Y 3.30, 2 Sm 3.42, 2 La 3.52
La 0.0723 0.4307 0.2659  4 La 3.34-3.71, 3 Sm 3.57-3.69
La 0.2621 0.2621 0.7884  5 La 3.34-3.67, 1 Y 3.48, 3 Sm 3.49-3.55
La 0.4307 0.0723 0.2659  4 La 3.34-3.71, 3 Sm 3.57-3.69
La 0.5693 0.9277 0.7341  4 La 3.34-3.71, 3 Sm 3.57-3.69
La 0.7379 0.7379 0.2116  5 La 3.34-3.67, 1 Y 3.48, 3 Sm 3.49-3.55
La 0.9277 0.5693 0.7341  4 La 3.34-3.71, 3 Sm 3.57-3.69
Sm 0.3309 0.6691 0.0000  7 La 3.42-3.66, 3 Sm 3.50-3.73
Sm 0.5000 0.5000 0.5000  6 La 3.55-3.69, 4 Sm 3.73
Sm 0.6691 0.3309 0.0000  7 La 3.42-3.66, 3 Sm 3.50-3.73
Y 0.0000 0.0000 0.5000  4 La 3.30-3.48

Output
- Symmetry: C2/m, No. 12

=====

It comes down to arrangement one, which is 57 meV per atom more stable than the next structure.

=====

Arrangement one

The following is a DFT calculation (GGA-PBE) of a geometry-optimized La4Sm6Y structure.

Cell: 8.7111 8.7111 8.7111 Å, 127.56 127.56 77.34°
With the nearest neighbours (Å) after each atom.
Sites, in units of the cell vectors:
La 0.2446 0.2446 0.6452  3 Sm 3.03-3.25
La 0.4006 0.7554 0.0000  3 Sm 3.03-3.25
La 0.5994 0.5994 0.3548  3 Sm 3.03-3.25
La 0.7554 0.4006 0.0000  3 Sm 3.03-3.25
Sm 0.0000 0.5000 0.5000  4 La 3.03
Sm 0.0416 0.5852 0.0000  1 La 3.25, 1 Y 3.55
Sm 0.4148 0.4148 0.4564  1 La 3.25, 1 Y 3.55
Sm 0.5000 0.0000 0.5000  4 La 3.03
Sm 0.5852 0.0416 0.0000  1 La 3.25, 1 Y 3.55
Sm 0.9584 0.9584 0.5436  1 La 3.25, 1 Y 3.55
Y 0.0000 0.0000 0.0000  8 Sm 3.55-3.85, 4 La 3.67

Output
- Symmetry: I-42m, No. 121

=====

Arrangement two

The following is a DFT calculation (GGA-PBE) of a geometry-optimized La4Sm6Y structure.

Cell: 9.6774 9.6774 9.6774 Å, 138.21 138.21 60.58°
With the nearest neighbours (Å) after each atom.
Sites, in units of the cell vectors:
La 0.1311 0.1311 0.6213  5 Sm 3.47-3.88, 1 Y 3.52, 1 La 3.70
La 0.4902 0.8689 0.0000  5 Sm 3.47-3.88, 1 Y 3.52, 1 La 3.70
La 0.5098 0.5098 0.3787  5 Sm 3.47-3.88, 1 Y 3.52, 1 La 3.70
La 0.8689 0.4902 0.0000  5 Sm 3.47-3.88, 1 Y 3.52, 1 La 3.70
Sm 0.0000 0.5000 0.5000  4 Sm 3.18, 2 Y 3.45
Sm 0.0567 0.7172 0.0000  3 Sm 3.18-3.31, 1 La 3.47
Sm 0.2828 0.2828 0.3396  3 Sm 3.18-3.31, 1 La 3.47
Sm 0.5000 0.0000 0.5000  4 Sm 3.18, 2 Y 3.45
Sm 0.7172 0.0567 0.0000  3 Sm 3.18-3.31, 1 La 3.47
Sm 0.9433 0.9433 0.6604  3 Sm 3.18-3.31, 1 La 3.47
Y 0.5000 0.5000 0.0000  8 Sm 3.45-3.74, 4 La 3.52

Output
- Symmetry: I-42m, No. 121

=====

It comes down to arrangement two, which is 105 meV per atom more stable than the next structure.